Record 1
! Ir2RuRh | Alexandria via LeMat-Bulk | SCAN | PBEsol geometry; values from VASP
&SYSTEM
  ibrav = 0, nat = 4, ntyp = 3
/
ATOMIC_SPECIES
Ru 101.07 Ru.upf
Ir 192.22 Ir.upf
Rh 102.91 Rh.upf
CELL_PARAMETERS angstrom
2.687 0.000 0.000
1.344 2.327 0.000
1.344 0.776 8.772
ATOMIC_POSITIONS crystal
Ru 0.000 0.000 0.000
Ir 0.251 0.251 0.247
Ir 0.749 0.749 0.753
Rh 0.500 0.500 0.500
! - ρ: 17.8 g cm⁻³
! - Space-group type: R-3m (166)
! - Magnetization: 0.00 μB/cell
! - Energy above the most stable polymorph in this dataset: 8 meV per atom
! - V: 13.71 Å³ per atom
! - Energy of formation from the pure elements: -0.04 eV per atom
! - Energy: -211.0 eV/cell

=====

Record 2
! Ir2RuRh | Alexandria via LeMat-Bulk | SCAN | PBEsol geometry; values from VASP
&SYSTEM
  ibrav = 0, nat = 4, ntyp = 3
/
ATOMIC_SPECIES
Ru 101.07 Ru.upf
Ir 192.22 Ir.upf
Rh 102.91 Rh.upf
CELL_PARAMETERS angstrom
2.688 0.000 0.000
0.000 4.649 0.003
0.000 -1.548 4.384
ATOMIC_POSITIONS crystal
Ru 0.500 0.500 0.500
Ir 0.000 0.500 0.000
Ir 0.000 0.000 0.500
Rh 0.500 0.000 0.000
! - ρ: 17.8 g cm⁻³
! - Space-group type: Cmmm (65)
! - Magnetization: 0.00 μB/cell
! - Energy above the most stable polymorph in this dataset: 16 meV per atom
! - V: 13.70 Å³ per atom
! - Energy of formation from the pure elements: -0.04 eV per atom
! - Energy: -210.9 eV/cell

=====

Record 3
! Ir2RuRh | Alexandria via LeMat-Bulk | SCAN | PBEsol geometry; values from VASP
&SYSTEM
  ibrav = 0, nat = 4, ntyp = 3
/
ATOMIC_SPECIES
Ir 192.22 Ir.upf
Rh 102.91 Rh.upf
Ru 101.07 Ru.upf
CELL_PARAMETERS angstrom
2.661 0.007 0.000
-0.027 4.615 0.000
-1.317 -2.311 4.609
ATOMIC_POSITIONS crystal
Ir 0.000 0.000 0.500
Ir 0.500 0.500 0.500
Rh 0.500 0.500 0.000
Ru 0.000 0.000 0.000
! - ρ: 17.3 g cm⁻³
! - Space-group type: C2/m (12)
! - Magnetization: 1.44 μB/cell
! - Energy above the most stable polymorph in this dataset: 363 meV per atom
! - V: 14.15 Å³ per atom
! - Energy of formation from the pure elements: 0.31 eV per atom
! - Energy: -209.6 eV/cell

=====

Record 4
! Ir2RuRh | Alexandria via LeMat-Bulk | SCAN | PBEsol geometry; values from VASP
&SYSTEM
  ibrav = 0, nat = 4, ntyp = 3
/
ATOMIC_SPECIES
Ru 101.07 Ru.upf
Ir 192.22 Ir.upf
Rh 102.91 Rh.upf
CELL_PARAMETERS angstrom
-1.146 -2.408 -0.302
2.310 -0.732 -2.933
3.598 -2.135 3.367
ATOMIC_POSITIONS crystal
Ru 0.500 0.500 0.751
Ir 0.000 0.000 0.996
Ir 0.500 0.500 0.251
Rh 0.000 0.000 0.502
! - ρ: 17.8 g cm⁻³
! - Space-group type: Pmm2 (25)
! - Magnetization: 0.00 μB/cell
! - Energy above the most stable polymorph in this dataset: 25 meV per atom
! - V: 13.71 Å³ per atom
! - Energy of formation from the pure elements: -0.03 eV per atom
! - Energy: -210.9 eV/cell

=====

Record 5
! Ir2RuRh | Alexandria via LeMat-Bulk | SCAN | PBEsol geometry; values from VASP
&SYSTEM
  ibrav = 0, nat = 4, ntyp = 3
/
ATOMIC_SPECIES
Ru 101.07 Ru.upf
Ir 192.22 Ir.upf
Rh 102.91 Rh.upf
CELL_PARAMETERS angstrom
3.793 0.000 0.000
0.000 3.800 0.000
0.000 0.000 3.800
ATOMIC_POSITIONS crystal
Ru 0.500 0.000 0.000
Ir 0.000 0.000 0.500
Ir 0.000 0.500 0.000
Rh 0.500 0.500 0.500
! - ρ: 17.8 g cm⁻³
! - Space-group type: P4/mmm (123)
! - Magnetization: 0.00 μB/cell
! - Energy above the most stable polymorph in this dataset: 21 meV per atom
! - V: 13.70 Å³ per atom
! - Energy of formation from the pure elements: -0.03 eV per atom
! - Energy: -210.9 eV/cell

=====

Record 6
! Ir2RuRh | Alexandria via LeMat-Bulk | SCAN | PBEsol geometry; values from VASP
&SYSTEM
  ibrav = 0, nat = 4, ntyp = 3
/
ATOMIC_SPECIES
Ru 101.07 Ru.upf
Ir 192.22 Ir.upf
Rh 102.91 Rh.upf
CELL_PARAMETERS angstrom
-2.402 -1.108 -0.461
1.024 -0.731 -3.582
1.915 -4.787 1.524
ATOMIC_POSITIONS crystal
Ru 0.500 0.500 0.500
Ir 0.000 0.000 0.747
Ir 0.000 0.000 0.253
Rh 0.500 0.500 0.000
! - ρ: 17.8 g cm⁻³
! - Space-group type: Pmmm (47)
! - Magnetization: 0.00 μB/cell
! - Energy above the most stable polymorph in this dataset: 0 meV per atom
! - V: 13.70 Å³ per atom
! - Energy of formation from the pure elements: -0.05 eV per atom
! - Energy: -211.0 eV/cell